1.
DFT (PBE) results for a geometry-optimized YHg3Au structure.

## Properties
Distance to the lowest polymorph of the same formula (eV per atom): 0.000
VASP energy (eV for the cell shown): -9.7
D(E_F) (states/eV/f.u.): 4.50

Geometry as POSCAR:
```
YHg3Au
1.0
-4.562 2.392 -0.966
-2.578 -4.161 1.872
0.088 2.105 4.798
Y Au Hg
1 1 3
direct
0.500 0.500 0.500
0.000 0.000 0.000
0.000 0.500 0.000
0.000 0.000 0.500
0.500 0.000 0.000
```

***

2.
DFT (PBE) results for a geometry-optimized Y4Hg2Au structure.

## Properties
VASP energy (eV for the cell shown): -32.8
D(E_F) (states/eV/f.u.): 7.29

Geometry as POSCAR:
```
Y4Hg2Au
1.0
4.918 0.000 1.537
2.219 4.389 1.537
-0.098 -0.060 8.952
Y Hg Au
4 2 1
direct
0.877 0.877 0.370
0.123 0.123 0.630
0.626 0.626 0.123
0.374 0.374 0.877
0.755 0.755 0.735
0.245 0.245 0.265
0.000 0.000 0.000
```

***

3.
DFT (PBE) results for a geometry-optimized YZnHg2Au structure.

## Properties
VASP energy (eV for the cell shown): -9.5
D(E_F) (states/eV/f.u.): 3.94

Geometry as POSCAR:
```
YZnHg2Au
1.0
-0.076 0.699 -5.980
-5.538 0.180 0.091
0.205 5.977 0.696
Y Zn Au Hg
1 1 1 2
direct
0.000 0.000 0.000
0.500 0.500 0.500
0.000 0.500 0.000
0.000 0.000 0.500
0.500 0.000 0.000
```

***

4.
DFT (PBE) results for a geometry-optimized Zn2HgAu structure.

## Properties
VASP energy (eV for the cell shown): -6.1
D(E_F) (states/eV/f.u.): 1.27

Geometry as POSCAR:
```
Zn2HgAu
1.0
4.895 -0.012 0.000
1.140 4.761 0.000
-3.018 -2.375 3.037
Au Hg Zn
1 1 2
direct
0.250 0.750 0.500
0.750 0.250 0.500
0.000 0.000 0.000
0.500 0.500 0.000
```